VASP calculation (PBE) on a geometry-optimized Pm3ErGe3 structure.

The calculated volume comes out at 28.53 Å³ per atom. Its energy of formation from the pure elements is -0.56 eV/atom. Its density of states at the Fermi level is 14.42 states/eV per cell. As for the energy: -146.26 eV for the cell shown.

The structure belongs to space group C2/m (No. 12); the cell edges are 8.300, 12.638 and 7.622 Å and the angles 90.00°, 92.53° and 90.00°. The inequivalent atoms are Pm at (0.000, 0.163, 0.000), Pm at (0.000, 0.228, 0.500), Pm at (0.122, 0.500, 0.860), Er at (0.246, 0.000, 0.600), Ge at (0.068, 0.000, 0.281) and Ge at (0.176, 0.327, 0.199).